1.
DFT (PBE) results for a geometry-optimized Y2FeAuN structure.

Results
* total energy: -37.46 eV/cell
* ΔE_f (raw): -893 meV per atom
* spin magnetization: 0.000 μB/atom

Cell lengths 4.965, 4.965, 3.616 Å; angles 90.00, 90.00, 90.00 degrees
Atoms (fractional coordinates):
Y (0.000, 0.500, 0.000)
Y (0.500, 0.000, 0.000)
Fe (0.000, 0.000, 0.500)
Au (0.500, 0.500, 0.500)
N (0.000, 0.000, 0.000)


2.
DFT (PBE) results for a geometry-optimized ZnFe2AuN structure.

Results
* total energy: -29.61 eV/cell
* ΔE_f (raw): 38 meV per atom
* spin magnetization: 0.950 μB/atom

Cell lengths 3.815, 3.815, 4.314 Å; angles 90.00, 90.00, 90.00 degrees
Atoms (fractional coordinates):
Zn (0.000, 0.000, 0.000)
Fe (0.000, 0.500, 0.500)
Fe (0.500, 0.000, 0.500)
Au (0.500, 0.500, 0.000)
N (0.000, 0.000, 0.500)


3.
DFT (PBE) results for a geometry-optimized Zr2FeAuN structure.

Results
* total energy: -41.02 eV/cell
* ΔE_f (raw): -771 meV per atom
* spin magnetization: 0.386 μB/atom

Cell lengths 4.557, 4.557, 3.791 Å; angles 90.00, 90.00, 90.00 degrees
Atoms (fractional coordinates):
Zr (0.000, 0.500, 0.000)
Zr (0.500, 0.000, 0.000)
Fe (0.000, 0.000, 0.500)
Au (0.500, 0.500, 0.500)
N (0.000, 0.000, 0.000)


4.
DFT (PBE) results for a geometry-optimized NaFeAu2 structure.

Results
* energy of formation from the pure elements: 433 meV/atom
* total energy: -29.21 eV/cell
* relative energy among the computed polymorphs: 288 meV per atom
* spin magnetization: 0.758 μB/atom

Cell lengths 9.333, 9.333, 9.333 Å; angles 147.23, 147.23, 47.03 degrees
Atoms (fractional coordinates):
Na (0.375, 0.625, 0.750)
Na (0.625, 0.375, 0.250)
Fe (0.125, 0.875, 0.250)
Fe (0.875, 0.125, 0.750)
Au (0.000, 0.000, 0.000)
Au (0.000, 0.000, 0.500)
Au (0.000, 0.500, 0.000)
Au (0.500, 0.000, 0.500)


5.
DFT (PBE) results for a geometry-optimized NaFeAu3 structure.

Results
* energy of formation from the pure elements: 282 meV/atom
* total energy: -18.20 eV/cell
* relative energy among the computed polymorphs: 0 meV per atom
* spin magnetization: 0.641 μB/atom

Cell lengths 4.932, 4.932, 4.932 Å; angles 90.00, 90.00, 90.00 degrees
Atoms (fractional coordinates):
Na (0.000, 0.000, 0.000)
Fe (0.500, 0.500, 0.500)
Au (0.000, 0.500, 0.500)
Au (0.500, 0.000, 0.500)
Au (0.500, 0.500, 0.000)


6.
DFT (PBE) results for a geometry-optimized NaFeAu2 structure.

Results
* energy of formation from the pure elements: 145 meV/atom
* total energy: -15.76 eV/cell
* relative energy among the computed polymorphs: 0 meV per atom
* spin magnetization: 0.792 μB/atom

Cell lengths 4.616, 4.616, 4.616 Å; angles 60.00, 60.00, 60.00 degrees
Atoms (fractional coordinates):
Na (0.000, 0.000, 0.000)
Fe (0.500, 0.500, 0.500)
Au (0.250, 0.250, 0.250)
Au (0.750, 0.750, 0.750)